Entry from Alexandria via LeMat-Bulk: crystalline Os2CNO at its relaxed geometry (GGA-PBE).

Calculated values
Formation energy (no corrections)   2.11 eV/atom
E_tot   -0.50578 Ry/atom

abc: 3.989 3.403 3.989
angles: 90.00 90.00 90.00
Atoms (fractional coordinates):
1 Os 0.000 0.000 0.500
2 C 0.500 0.500 0.500
3 N 0.000 0.000 0.000
4 Os 0.500 0.000 0.000
5 O 0.000 0.500 0.000

Entry from Alexandria via LeMat-Bulk: crystalline Cs3InSe at its relaxed geometry (GGA-PBE).

Calculated values
Formation energy (no corrections)   -0.37 eV/atom
Distance to the lowest polymorph of the same formula   0.00 eV per formula unit
E_tot   -0.15668 Ry/atom

abc: 6.981 6.981 6.981
angles: 90.00 90.00 90.00
Site moments in Bohr magnetons follow the coordinates.
Atoms (fractional coordinates):
1 Cs 0.500 0.000 0.000  0.01
2 Se 0.000 0.000 0.000  0.04
3 Cs 0.000 0.500 0.000  0.02
4 In 0.500 0.500 0.500  0.33
5 Cs 0.000 0.000 0.500  0.02

Entry from Alexandria via LeMat-Bulk: crystalline NdH4 at its relaxed geometry (GGA-PBE).

Calculated values
E_tot   -0.24211 Ry/atom

abc: 4.439 4.439 4.439
angles: 90.00 90.00 90.00
Site moments in Bohr magnetons follow the coordinates.
Atoms (fractional coordinates):
1 Nd 0.500 0.500 0.500  0.01
2 H 0.500 0.500 0.000  0.02
3 H 0.000 0.000 0.000  0.35
4 H 0.500 0.000 0.500  0.02
5 H 0.000 0.500 0.500  0.02

Entry from Alexandria via LeMat-Bulk: crystalline Tb3Er8Sc3 at its relaxed geometry (GGA-PBE).

Calculated values
Calculated formation energy   0.124 eV per atom
E_tot   -0.35518 Ry/atom

abc: 5.397 11.503 8.654
angles: 55.46 71.83 76.43
Atoms (fractional coordinates):
1 Er 0.825 0.510 0.839
2 Er 0.668 0.266 0.399
3 Tb 0.034 0.253 0.679
4 Er 0.175 0.490 0.161
5 Er 0.332 0.734 0.601
6 Sc 0.500 0.500 0.500
7 Sc 0.129 0.885 0.858
8 Er 0.618 0.686 0.078
9 Tb 0.500 0.000 0.000
10 Er 0.382 0.314 0.922
11 Tb 0.966 0.747 0.321
12 Sc 0.871 0.115 0.142
13 Er 0.260 0.096 0.385
14 Er 0.740 0.904 0.615

Entry from Alexandria via LeMat-Bulk: crystalline LaZnSbAu2 at its relaxed geometry (GGA-PBE).

Calculated values
Formation energy (no corrections)   -0.34 eV/atom
E_tot   -0.27320 Ry/atom

abc: 4.888 5.334 4.888
angles: 90.00 90.00 90.00
Atoms (fractional coordinates):
1 Au 0.500 0.000 0.000
2 La 0.500 0.500 0.500
3 Zn 0.000 0.000 0.000
4 Au 0.000 0.000 0.500
5 Sb 0.000 0.500 0.000

- E_tot of number 3 (NdH4)?
  -0.24211 Ry/atom